[1]
# Zn2Pb2Cl PBE optimized geometry
data_Zn2Pb2Cl
_chemical_formula_sum 'Zn4 Pb4 Cl2'
_cell_length_a 3.5964
_cell_length_b 3.5964
_cell_length_c 19.1648
_cell_angle_alpha 90.00
_cell_angle_beta 90.00
_cell_angle_gamma 90.00
_symmetry_space_group_name_H-M 'I 4/m m m'
_symmetry_Int_Tables_number 139
_symmetry_space_group_name_Hall '-I 4 2'
loop_
_atom_site_label
_atom_site_fract_x
_atom_site_fract_y
_atom_site_fract_z
Zn1 0.0000 0.5000 0.2500
Pb1 0.0000 0.0000 0.1120
Cl1 0.0000 0.0000 0.5000
# Energy = -0.1815 Ry/atom
# Polymorph energy (0 for the lowest one) = 0.0 meV per atom
# Energy relative to the elements, uncorrected = -107 meV per atom

[2]
# YMgRe2Pb PBE optimized geometry
data_YMgRe2Pb
_chemical_formula_sum 'Y1 Mg1 Re2 Pb1'
_cell_length_a 5.0068
_cell_length_b 5.0068
_cell_length_c 5.6353
_cell_angle_alpha 90.00
_cell_angle_beta 90.00
_cell_angle_gamma 90.00
_symmetry_space_group_name_H-M 'P 4/m m m'
_symmetry_Int_Tables_number 123
_symmetry_space_group_name_Hall '-P 4 2'
loop_
_atom_site_label
_atom_site_fract_x
_atom_site_fract_y
_atom_site_fract_z
Y1 0.0000 0.0000 0.0000
Mg1 0.5000 0.5000 0.5000
Re1 0.0000 0.5000 0.0000
Pb1 0.0000 0.0000 0.5000
# E_form = 208.8 kJ/mol of atoms
# Energy = -0.3799 Ry/atom

[3]
# SmGa4Cu2 PBE optimized geometry
data_SmGa4Cu2
_chemical_formula_sum 'Sm2 Ga8 Cu4'
_cell_length_a 4.2909
_cell_length_b 13.6444
_cell_length_c 4.2587
_cell_angle_alpha 90.00
_cell_angle_beta 90.00
_cell_angle_gamma 90.00
_symmetry_space_group_name_H-M 'C m m m'
_symmetry_Int_Tables_number 65
_symmetry_space_group_name_Hall '-C 2 2'
loop_
_atom_site_label
_atom_site_fract_x
_atom_site_fract_y
_atom_site_fract_z
Sm1 0.0000 0.0000 0.0000
Ga1 0.0000 0.1796 0.5000
Ga2 0.0000 0.3177 0.0000
Cu1 0.0000 0.4120 0.5000
# E_form = -27.3 kJ/mol of atoms
# Energy = -0.2835 Ry/atom
# Polymorph energy (0 for the lowest one) = 90.3 meV per atom

[4]
# HfTiW3 PBE optimized geometry
data_HfTiW3
_chemical_formula_sum 'Hf1 Ti1 W3'
_cell_length_a 4.7779
_cell_length_b 4.7779
_cell_length_c 4.7779
_cell_angle_alpha 90.00
_cell_angle_beta 90.00
_cell_angle_gamma 90.00
_symmetry_space_group_name_H-M 'P m -3 m'
_symmetry_Int_Tables_number 221
_symmetry_space_group_name_Hall '-P 4 2 3'
loop_
_atom_site_label
_atom_site_fract_x
_atom_site_fract_y
_atom_site_fract_z
Hf1 0.0000 0.0000 0.0000
Ti1 0.5000 0.5000 0.5000
W1 0.0000 0.0000 0.5000
# E_form = 224.4 kJ/mol of atoms
# Energy = -0.6627 Ry/atom
# Polymorph energy (0 for the lowest one) = 827.6 meV per atom

[5]
# ScGa2AgAu2 PBE optimized geometry
data_ScGa2AgAu2
_chemical_formula_sum 'Sc1 Ga2 Ag1 Au2'
_cell_length_a 4.4904
_cell_length_b 4.4904
_cell_length_c 6.2467
_cell_angle_alpha 90.00
_cell_angle_beta 90.00
_cell_angle_gamma 120.00
_symmetry_space_group_name_H-M 'P -3 m 1'
_symmetry_Int_Tables_number 164
_symmetry_space_group_name_Hall '-P 3 2"'
loop_
_atom_site_label
_atom_site_fract_x
_atom_site_fract_y
_atom_site_fract_z
Sc1 0.0000 0.0000 0.0000
Ga1 0.3333 0.6667 0.2648
Ag1 0.0000 0.0000 0.5000
Au1 0.3333 0.6667 0.7591
# E_form = -42.3 kJ/mol of atoms
# Energy = -0.2992 Ry/atom